# KCeMo2O8

A relaxed KCeMo2O8 crystal (PBE+U, Alexandria via LeMat-Bulk).

a = 7.1730 Å, b = 7.1730 Å, c = 7.1730 Å
α = 135.17°, β = 135.17°, γ = 65.27°
With the nearest neighbours (Å) after each atom.
Fractional positions:
K: 0.0000 0.0000 0.0000  8 O 2.69-2.72
Ce: 0.7500 0.2500 0.5000  8 O 2.52-2.53
Mo: 0.2500 0.7500 0.5000  4 O 1.81
Mo: 0.5000 0.5000 0.0000  4 O 1.81
O: 0.0160 0.9108 0.5785  1 Mo 1.81
O: 0.0892 0.6677 0.1052  1 Mo 1.81
O: 0.1731 0.2909 0.6377  1 Mo 1.81
O: 0.3323 0.4375 0.4215  1 Mo 1.81
O: 0.4646 0.8269 0.1179  1 Mo 1.81
O: 0.5625 0.9840 0.8948  1 Mo 1.81
O: 0.6532 0.5354 0.3623  1 Mo 1.81
O: 0.7091 0.3468 0.8821  1 Mo 1.81

Computed properties:
Fermi-level density of states = 0.59 states/eV/atom
Electronic total energy = -86.2 eV/cell